# 1
A plane-wave DFT calculation with PBE was carried out for a geometry-optimized La4FeTc structure.

Values from the calculation:
- Energy of formation: 1.10 eV/atom

a b c (Å): 8.7508 8.7508 8.7508
angles (deg): 90.00 90.00 90.00
With the nearest neighbours (Å) after each atom.
Space group F-43m (No. 216)
One atom of each set of equivalent atoms:
La 0.1247 0.1247 0.1247 x16  6 La 3.09-3.10
Fe 0.0000 0.0000 0.5000 x4  12 La 3.63, 4 Tc 3.79
Tc 0.2500 0.2500 0.7500 x4  12 La 3.63, 4 Fe 3.79

# 2
A plane-wave DFT calculation with PBE was carried out for a geometry-optimized LaFe2Tc2 structure.

Values from the calculation:
- ΔE to the lowest computed polymorph: 0.000 eV/atom
- Energy of formation: 0.12 eV/atom

a b c (Å): 4.2487 4.2487 9.6460
angles (deg): 90.00 90.00 90.00
With the nearest neighbours (Å) after each atom.
Space group I4/mmm (No. 139)
One atom of each set of equivalent atoms:
La 0.0000 0.0000 0.0000 x2  8 Tc 3.21, 10 Fe 3.29-3.49
Fe 0.0000 0.0000 0.3619 x4  4 Tc 2.38, 1 Fe 2.66
Tc 0.0000 0.5000 0.2500 x4  4 Fe 2.38